[1]
# ErZn3Pd2

A relaxed structure of ErZn3Pd2 (GGA-PBE, Alexandria via LeMat-Bulk).

Total moment ... 0.000 μB/atom
Calculated volume ... 106 Å³/f.u.
VASP energy ... -3.659 eV per atom

Lattice parameters (Å, degrees): 6.145 6.145 5.625 90.00 90.00 84.62
Sites, in units of the cell vectors:
Er1 0.141 0.859 0.750
Er2 0.859 0.141 0.250
Zn1 0.077 0.609 0.250
Zn2 0.391 0.923 0.250
Zn3 0.493 0.507 0.250
Zn4 0.507 0.493 0.750
Zn5 0.609 0.077 0.750
Zn6 0.923 0.391 0.750
Pd1 0.259 0.259 0.000
Pd2 0.259 0.259 0.500
Pd3 0.741 0.741 0.000
Pd4 0.741 0.741 0.500


[2]
# Er3Zn2Pd4

A relaxed structure of Er3Zn2Pd4 (GGA-PBE, Alexandria via LeMat-Bulk).

Total moment ... 0.000 μB/atom
Calculated volume ... 178 Å³/f.u.
VASP energy ... -4.878 eV per atom

Lattice parameters (Å, degrees): 5.875 5.875 8.643 115.20 115.20 42.17
Sites, in units of the cell vectors:
Er1 0.000 0.000 0.000
Er2 0.357 0.357 0.307
Er3 0.643 0.643 0.693
Zn1 0.340 0.340 0.673
Zn2 0.660 0.660 0.327
Pd1 0.075 0.075 0.408
Pd2 0.291 0.291 0.933
Pd3 0.709 0.709 0.067
Pd4 0.925 0.925 0.592


[3]
# ErZnPd5

A relaxed structure of ErZnPd5 (GGA-PBE, Alexandria via LeMat-Bulk).

Relative energy among the computed polymorphs ... 0 meV/atom
Total moment ... 0.000 μB/atom
Calculated volume ... 121 Å³/f.u.

Lattice parameters (Å, degrees): 4.134 4.134 7.056 90.00 90.00 90.00
Sites, in units of the cell vectors:
Er1 0.000 0.000 0.000
Zn1 0.500 0.500 0.500
Pd1 0.000 0.500 0.285
Pd2 0.000 0.500 0.715
Pd3 0.500 0.000 0.285
Pd4 0.500 0.000 0.715
Pd5 0.500 0.500 0.000